Entry 1:
Compound: NaIn4Pb
Source: Alexandria
Functional: PBE-GGA
Structure: optimized geometry

Calculated total energy: -2.7191 eV per atom
V: 662.3 Å³ per cell
E_form: -0.06 eV/atom
Polymorph energy (0 for the lowest one): 0.0 meV/atom

Unit cell a=6.3958 b=18.8197 c=5.5026 alpha=90.00 beta=90.00 gamma=90.00
Closest atoms and distances in Å follow each position.
Space group Cmcm (No. 63)
Asymmetric unit:
Na  0.0000  0.1257  0.2500 (multiplicity 4)  2 Pb 3.20, 12 In 3.50-3.56
In  0.2485  0.0409  0.7500 (multiplicity 8)  5 In 3.15-3.22, 3 Pb 3.43-3.52, 1 Na 3.52
In  0.2491  0.2914  0.2500 (multiplicity 8)  5 In 3.16-3.21, 1 Na 3.50
Pb  0.0000  0.3797  0.7500 (multiplicity 4)  2 Na 3.20, 6 In 3.43-3.52

Entry 2:
Compound: Na5InPb4
Source: Alexandria
Functional: PBE-GGA
Structure: optimized geometry

Calculated total energy: -2.5214 eV per atom
V: 280.6 Å³ per cell
E_form: -0.10 eV/atom

Unit cell a=3.7148 b=3.7148 c=20.3350 alpha=90.00 beta=90.00 gamma=90.00
Closest atoms and distances in Å follow each position.
Space group P4/mmm (No. 123)
Asymmetric unit:
Na  0.0000  0.0000  0.0000 (multiplicity 1)  8 Pb 3.31
Na  0.0000  0.0000  0.2009 (multiplicity 2)  8 Pb 3.34, 4 Na 3.71
Na  0.0000  0.0000  0.4017 (multiplicity 2)  4 In 3.30, 4 Pb 3.32
In  0.5000  0.5000  0.5000 (multiplicity 1)  8 Na 3.30
Pb  0.5000  0.5000  0.0992 (multiplicity 2)  8 Na 3.31-3.34
Pb  0.5000  0.5000  0.3022 (multiplicity 2)  8 Na 3.32-3.34

Entry 3:
Compound: Na2In3Pb3
Source: Alexandria
Functional: PBE-GGA
Structure: optimized geometry

Calculated total energy: -2.8359 eV per atom
V: 222.9 Å³ per cell
E_form: -0.09 eV/atom

Unit cell a=4.8249 b=4.9409 c=9.3521 alpha=90.00 beta=90.00 gamma=90.00
Closest atoms and distances in Å follow each position.
Space group Pmmm (No. 47)
Asymmetric unit:
Na  0.0000  0.0000  0.2472 (multiplicity 2)  6 Pb 3.34-3.42, 6 In 3.38-3.45
In  0.0000  0.5000  0.0000 (multiplicity 1)  4 In 3.33, 4 Na 3.38, 4 Pb 3.45
In  0.5000  0.5000  0.2457 (multiplicity 2)  2 In 3.33, 6 Pb 3.37-3.43, 4 Na 3.45
Pb  0.0000  0.5000  0.5000 (multiplicity 1)  4 In 3.39, 4 Na 3.42, 4 Pb 3.45
Pb  0.5000  0.0000  0.0000 (multiplicity 1)  4 Na 3.34, 8 In 3.37-3.45
Pb  0.5000  0.0000  0.5000 (multiplicity 1)  4 Na 3.38, 4 In 3.43, 4 Pb 3.45

Entry 4:
Compound: Na5In4Pb2
Source: Alexandria
Functional: PBE-GGA
Structure: optimized geometry

Calculated total energy: -2.3153 eV per atom
V: 644.5 Å³ per cell
E_form: -0.05 eV/atom

Unit cell a=12.0746 b=6.2822 c=10.1170 alpha=90.00 beta=122.87 gamma=90.00
Closest atoms and distances in Å follow each position.
Space group C2/m (No. 12)
Asymmetric unit:
Na  0.0000  0.0000  0.0000 (multiplicity 2)  4 In 3.21-3.35
Na  0.0002  0.2467  0.3256 (multiplicity 8)  2 Na 3.10-3.18, 2 Pb 3.35-3.46, 4 In 3.35-3.46
In  0.2244  0.5000  0.0041 (multiplicity 4)  1 Pb 3.10, 2 In 3.21, 3 Na 3.35
In  0.2352  0.5000  0.6544 (multiplicity 4)  3 Pb 3.15-3.42, 7 Na 3.21-3.46
Pb  0.2417  0.5000  0.3208 (multiplicity 4)  4 In 3.10-3.42, 4 Na 3.35-3.46

Entry 5:
Compound: Na12InPb6
Source: Alexandria
Functional: PBE-GGA
Structure: optimized geometry

Calculated total energy: -2.2572 eV per atom
V: 1774.2 Å³ per cell
E_form: -0.11 eV/atom

Unit cell a=11.7617 b=11.7617 c=14.8090 alpha=90.00 beta=90.00 gamma=120.00
Closest atoms and distances in Å follow each position.
Space group R-3 (No. 148, hexagonal axes)
Asymmetric unit:
Na  0.0445  0.1918  0.3152 (multiplicity 18)  3 Na 3.17-3.54, 1 In 3.42, 3 Pb 3.44-3.53
Na  0.0650  0.8344  0.9153 (multiplicity 18)  4 Pb 3.28-3.46, 4 Na 3.42-3.61
In  0.0000  0.0000  0.5000 (multiplicity 3)  6 Pb 3.25, 6 Na 3.42
Pb  0.0295  0.4479  0.2074 (multiplicity 18)  1 In 3.25, 9 Na 3.28-3.60, 2 Pb 3.41

Entry 6:
Compound: Na4InPb3
Source: Alexandria
Functional: PBE-GGA
Structure: optimized geometry

Calculated total energy: -2.4788 eV per atom
V: 479.6 Å³ per cell
E_form: -0.09 eV/atom

Unit cell a=14.8320 b=5.7814 c=6.1420 alpha=90.00 beta=114.40 gamma=90.00
Closest atoms and distances in Å follow each position.
Space group C2/m (No. 12)
Asymmetric unit:
Na  0.1214  0.0000  0.1216 (multiplicity 4)  5 Na 3.28-3.54, 3 Pb 3.32-3.52, 2 In 3.48
Na  0.2489  0.5000  0.2485 (multiplicity 4)  5 Pb 3.36-3.55, 4 Na 3.36-3.54, 1 In 3.39
In  0.0000  0.0000  0.5000 (multiplicity 2)  4 Pb 3.30, 6 Na 3.39-3.48
Pb  0.0000  0.5000  0.0000 (multiplicity 2)  6 Na 3.32-3.36, 4 Pb 3.46
Pb  0.1180  0.5000  0.6169 (multiplicity 4)  3 Pb 3.19-3.46, 2 In 3.30, 5 Na 3.40-3.55

Entry 7:
Compound: Na2InPb
Source: Alexandria
Functional: PBE-GGA
Structure: optimized geometry

Calculated total energy: -2.3638 eV per atom
V: 111.1 Å³ per cell
E_form: -0.09 eV/atom
Polymorph energy (0 for the lowest one): 25.3 meV/atom

Unit cell a=5.6946 b=5.6946 c=3.4266 alpha=90.00 beta=90.00 gamma=90.00
Closest atoms and distances in Å follow each position.
Space group P4/mmm (No. 123)
Asymmetric unit:
Na  0.0000  0.5000  0.0000 (multiplicity 2)  4 Pb 3.32, 4 In 3.32, 2 Na 3.43
In  0.0000  0.0000  0.5000 (multiplicity 1)  8 Na 3.32, 2 In 3.43
Pb  0.5000  0.5000  0.5000 (multiplicity 1)  8 Na 3.32, 2 Pb 3.43

Entry 8:
Compound: Na2In12Pb5
Source: Alexandria
Functional: PBE-GGA
Structure: optimized geometry

Calculated total energy: -2.8471 eV per atom
V: 1096.0 Å³ per cell
E_form: 0.00 eV/atom

Unit cell a=16.3796 b=10.7856 c=6.3441 alpha=90.00 beta=102.06 gamma=90.00
Closest atoms and distances in Å follow each position.
Space group C2/m (No. 12)
Asymmetric unit:
Na  0.0000  0.2317  0.0000 (multiplicity 4)  8 In 3.25-3.46
In  0.0512  0.5000  0.2954 (multiplicity 4)  3 In 3.18-3.37, 2 Pb 3.35-3.43, 2 Na 3.45
In  0.1048  0.2601  0.5828 (multiplicity 8)  4 In 3.18-3.37, 3 Pb 3.27-3.47, 1 Na 3.46
In  0.1295  0.0000  0.9639 (multiplicity 4)  2 In 3.11, 3 Pb 3.25-3.38, 2 Na 3.32
In  0.2001  0.2446  0.1926 (multiplicity 8)  4 In 3.11-3.22, 1 Na 3.25, 3 Pb 3.29-3.41
Pb  0.0000  0.0000  0.5000 (multiplicity 2)  6 In 3.25-3.27
Pb  0.1605  0.5000  0.9048 (multiplicity 4)  9 In 3.29-3.62, 1 Pb 3.63
Pb  0.2251  0.0000  0.5399 (multiplicity 4)  9 In 3.33-3.66, 3 Pb 3.63-3.70

- Which of these has the highest E_form?
  Na2In12Pb5